Material: Pr4CoAu
Method: DFT, GGA-PBE
State: relaxed

Computed properties:
As for the relative energy among the computed polymorphs: 0 meV/atom. Its magnetization is 0.000 μB per atom. The density of states at the Fermi level is 14.08 states/eV/cell.

abc: 6.310 7.104 8.185
angles: 90.00 109.49 90.00
Space group P2_1/m (No. 11)
One atom of each set of equivalent atoms:
Pr (0.014, 0.004, 0.225)
Pr (0.427, 0.250, 0.626)
Pr (0.440, 0.250, 0.091)
Co (0.229, 0.750, 0.061)
Au (0.209, 0.750, 0.551)

Material: ZrUPaIr
Method: DFT, GGA-PBE
State: relaxed

Computed properties:
Its magnetization is 0.734 μB per atom. As for the total energy: -155.07 eV/cell. The density of states at the Fermi level is 46.80 states/eV/cell.

abc: 6.888 6.888 6.888
angles: 90.00 90.00 90.00
Space group F-43m (No. 216)
One atom of each set of equivalent atoms:
Zr (0.000, 0.000, 0.000)
U (0.250, 0.250, 0.250)
Pa (0.000, 0.000, 0.500)
Ir (0.250, 0.250, 0.750)

Material: CsBOs3
Method: DFT, GGA-PBE
State: relaxed

Computed properties:
As for the relative energy among the computed polymorphs: 3183 meV/atom. Its magnetization is 1.022 μB per atom. The density of states at the Fermi level is 6.43 states/eV/cell.

abc: 5.013 5.013 5.013
angles: 90.00 90.00 90.00
Space group Pm-3m (No. 221)
One atom of each set of equivalent atoms:
Cs (0.000, 0.000, 0.000)
B (0.500, 0.500, 0.500)
Os (0.000, 0.000, 0.500)

Material: K2TiZnO4
Method: DFT, GGA-PBE
State: relaxed

Computed properties:
As for the relative energy among the computed polymorphs: 38 meV/atom. Its magnetization is 0.000 μB per atom. The density of states at the Fermi level is 0.00 states/eV/cell.

abc: 6.686 6.575 6.037
angles: 90.00 90.00 90.00
Space group Pmn2_1 (No. 31)
One atom of each set of equivalent atoms:
K (0.249, 0.228, 0.000)
Ti (0.000, 0.672, 0.000)
Zn (0.000, 0.320, 0.500)
O (0.000, 0.508, 0.758)
O (0.000, 0.510, 0.242)
O (0.236, 0.824, 0.999)

Material: Li2CdF6
Method: DFT, GGA-PBE
State: relaxed

Computed properties:
Its magnetization is 0.224 μB per atom. As for the total energy: -33.41 eV/cell. The density of states at the Fermi level is 8.57 states/eV/cell.

abc: 5.2573 5.2573 4.4821
angles: 90.00 90.00 120.00
Space group P-31m (No. 162)
One atom of each set of equivalent atoms:
Li (0.3333, 0.6667, 0.0000)
Cd (0.0000, 0.0000, 0.5000)
F (0.0000, 0.3461, 0.2319)

Material: Li2ScNiHg
Method: DFT, GGA-PBE
State: relaxed

Computed properties:
Its magnetization is 0.116 μB per atom. As for the total energy: -15.37 eV/cell. The density of states at the Fermi level is 5.43 states/eV/cell.

abc: 4.389 4.389 4.953
angles: 90.00 90.00 90.00
Space group P4/mmm (No. 123)
One atom of each set of equivalent atoms:
Li (0.000, 0.500, 0.000)
Sc (0.000, 0.000, 0.500)
Ni (0.500, 0.500, 0.000)
Hg (0.500, 0.500, 0.500)

Material: FeNi2Os
Method: DFT, GGA-PBE
State: relaxed

Computed properties:
As for the relative energy among the computed polymorphs: 147 meV/atom. Its magnetization is 0.721 μB per atom. The density of states at the Fermi level is 4.64 states/eV/cell.

abc: 3.009 3.009 5.309
angles: 90.00 90.00 90.00
Space group P4/mmm (No. 123)
One atom of each set of equivalent atoms:
Fe (0.000, 0.000, 0.000)
Ni (0.500, 0.500, 0.234)
Os (0.000, 0.000, 0.500)

Material: TeMoOs2
Method: DFT, GGA-PBE
State: relaxed

Computed properties:
Its magnetization is 0.000 μB per atom. As for the total energy: -128.74 eV/cell. The density of states at the Fermi level is 13.40 states/eV/cell.

abc: 5.763 5.763 11.578
angles: 90.00 90.00 90.00
Space group I-42d (No. 122)
One atom of each set of equivalent atoms:
Te (0.000, 0.000, 0.000)
Mo (0.000, 0.000, 0.500)
Os (0.230, 0.250, 0.625)

Material: GaAgPtPb2
Method: DFT, GGA-PBE
State: relaxed

Computed properties:
As for the relative energy among the computed polymorphs: 135 meV/atom. Its magnetization is 0.000 μB per atom. The density of states at the Fermi level is 3.65 states/eV/cell.

abc: 9.434 3.920 7.196
angles: 90.00 117.02 90.00
Space group Cm (No. 8)
One atom of each set of equivalent atoms:
Ga (0.000, 0.000, 0.000)
Ag (0.330, 0.000, 0.108)
Pt (0.049, 0.000, 0.374)
Pb (0.118, 0.500, 0.754)
Pb (0.278, 0.500, 0.438)

Material: ZnCoBi2
Method: DFT, GGA-PBE
State: relaxed

Computed properties:
Its magnetization is 0.121 μB per atom. As for the total energy: -57.26 eV/cell. The density of states at the Fermi level is 12.93 states/eV/cell.

abc: 6.185 6.185 12.042
angles: 90.00 90.00 90.00
Space group I-42d (No. 122)
One atom of each set of equivalent atoms:
Zn (0.000, 0.000, 0.000)
Co (0.000, 0.000, 0.500)
Bi (0.206, 0.250, 0.625)

Material: SrMg3F
Method: DFT, GGA-PBE
State: relaxed

Computed properties:
As for the relative energy among the computed polymorphs: 1230 meV/atom. Its magnetization is 0.000 μB per atom. The density of states at the Fermi level is 2.88 states/eV/cell.

abc: 6.790 6.790 6.790
angles: 90.00 90.00 90.00
Space group Pm-3m (No. 221)
One atom of each set of equivalent atoms:
Sr (0.000, 0.000, 0.000)
Mg (0.000, 0.000, 0.500)
F (0.500, 0.500, 0.500)

Material: SmEr2Mn
Method: DFT, GGA-PBE
State: relaxed

Computed properties:
As for the relative energy among the computed polymorphs: 407 meV/atom. Its magnetization is 0.765 μB per atom. The density of states at the Fermi level is 13.07 states/eV/cell.

abc: 3.3915 3.3915 33.8850
angles: 90.00 90.00 120.00
Space group R-3m (No. 166, hexagonal axes)
One atom of each set of equivalent atoms:
Sm (0.0000, 0.0000, 0.0000)
Er (0.0000, 0.0000, 0.4190)
Mn (0.0000, 0.0000, 0.5000)

Material: Na2CoN2
Method: DFT, GGA-PBE
State: relaxed

Computed properties:
Its magnetization is 0.000 μB per atom. As for the total energy: -49.80 eV/cell. The density of states at the Fermi level is 3.69 states/eV/cell.

abc: 4.930 4.930 4.223
angles: 90.00 90.00 90.00
Space group P4/mbm (No. 127)
One atom of each set of equivalent atoms:
Na (0.180, 0.320, 0.000)
Co (0.000, 0.000, 0.500)
N (0.104, 0.604, 0.500)

Material: ZrVFe
Method: DFT, GGA-PBE
State: relaxed

Computed properties:
As for the relative energy among the computed polymorphs: 0 meV/atom. Its magnetization is 0.139 μB per atom. The density of states at the Fermi level is 11.00 states/eV/cell.

abc: 5.109 5.174 6.935
angles: 90.00 90.00 90.00
Space group Imma (No. 74)
One atom of each set of equivalent atoms:
Zr (0.000, 0.250, 0.130)
V (0.250, 0.250, 0.750)
Fe (0.000, 0.000, 0.500)

Material: Er2In2Ru
Method: DFT, GGA-PBE
State: relaxed

Computed properties:
Its magnetization is 0.000 μB per atom. As for the total energy: -51.64 eV/cell. The density of states at the Fermi level is 2.08 states/eV/cell.

abc: 3.385 3.385 20.413
angles: 90.00 90.00 90.00
Space group I4/mmm (No. 139)
One atom of each set of equivalent atoms:
Er (0.000, 0.000, 0.081)
In (0.000, 0.000, 0.302)
Ru (0.000, 0.000, 0.500)

Material: TiAlReIr
Method: DFT, GGA-PBE
State: relaxed

Computed properties:
Its magnetization is 0.000 μB per atom. As for the total energy: -35.52 eV/cell. The density of states at the Fermi level is 2.77 states/eV/cell.

abc: 3.063 4.284 4.425
angles: 90.00 90.00 90.00
Space group Pmmm (No. 47)
One atom of each set of equivalent atoms:
Ti (0.000, 0.000, 0.000)
Al (0.000, 0.500, 0.500)
Re (0.500, 0.500, 0.000)
Ir (0.500, 0.000, 0.500)

Material: In2GaSn2Hg2
Method: DFT, GGA-PBE
State: relaxed

Computed properties:
Its magnetization is 0.000 μB per atom. As for the total energy: -33.41 eV/cell. The density of states at the Fermi level is 5.16 states/eV/cell.

abc: 16.193 3.117 7.920
angles: 90.00 113.08 90.00
Space group C2/m (No. 12)
One atom of each set of equivalent atoms:
In (0.083, 0.000, 0.413)
Ga (0.000, 0.500, 0.000)
Sn (0.125, 0.000, 0.838)
Hg (0.211, 0.500, 0.257)

Material: OsS3F
Method: DFT, GGA-PBE
State: relaxed

Computed properties:
Its magnetization is 0.000 μB per atom. As for the total energy: -23.47 eV/cell. The density of states at the Fermi level is 4.61 states/eV/cell.

abc: 4.545 4.545 4.545
angles: 90.00 90.00 90.00
Space group Pm-3m (No. 221)
One atom of each set of equivalent atoms:
Os (0.000, 0.000, 0.000)
S (0.000, 0.000, 0.500)
F (0.500, 0.500, 0.500)

Material: Nd2Zn5Ge
Method: DFT, GGA-PBE
State: relaxed

Computed properties:
Its magnetization is 0.000 μB per atom. As for the total energy: -96.96 eV/cell. The density of states at the Fermi level is 15.85 states/eV/cell.

abc: 4.421 16.227 8.887
angles: 90.00 90.00 90.00
Space group Cmcm (No. 63)
One atom of each set of equivalent atoms:
Nd (0.000, 0.000, 0.000)
Nd (0.000, 0.203, 0.250)
Zn (0.000, 0.186, 0.607)
Zn (0.000, 0.349, 0.521)
Zn (0.000, 0.402, 0.250)
Ge (0.000, 0.444, 0.750)

Material: TaCrAg2
Method: DFT, GGA-PBE
State: relaxed

Computed properties:
As for the relative energy among the computed polymorphs: 165 meV/atom. Its magnetization is 0.485 μB per atom. The density of states at the Fermi level is 6.05 states/eV/cell.

abc: 3.872 3.872 8.811
angles: 90.00 90.00 90.00
Space group I4/mmm (No. 139)
One atom of each set of equivalent atoms:
Ta (0.000, 0.000, 0.000)
Cr (0.000, 0.000, 0.500)
Ag (0.000, 0.500, 0.250)

Material: Ca4ZrIn5
Method: DFT, GGA-PBE
State: relaxed

Computed properties:
Its magnetization is 0.000 μB per atom. As for the total energy: -34.11 eV/cell. The density of states at the Fermi level is 4.46 states/eV/cell.

abc: 3.546 3.546 21.397
angles: 90.00 90.00 90.00
Space group P4/mmm (No. 123)
One atom of each set of equivalent atoms:
Ca (0.000, 0.000, 0.103)
Ca (0.000, 0.000, 0.309)
Zr (0.000, 0.000, 0.500)
In (0.500, 0.500, 0.000)
In (0.500, 0.500, 0.206)
In (0.500, 0.500, 0.411)

Material: Nd2SmOsC2
Method: DFT, GGA-PBE
State: relaxed

Computed properties:
Its magnetization is 0.000 μB per atom. As for the total energy: -88.52 eV/cell. The density of states at the Fermi level is 8.74 states/eV/cell.

abc: 5.741 11.351 3.889
angles: 90.00 90.00 90.00
Space group Pnnm (No. 58)
One atom of each set of equivalent atoms:
Nd (0.041, 0.207, 0.000)
Sm (0.000, 0.500, 0.500)
Os (0.000, 0.000, 0.500)
C (0.236, 0.610, 0.000)

Material: TaReAu2
Method: DFT, GGA-PBE
State: relaxed

Computed properties:
As for the relative energy among the computed polymorphs: 6 meV/atom. Its magnetization is 0.000 μB per atom. The density of states at the Fermi level is 2.27 states/eV/cell.

abc: 2.878 4.039 5.901
angles: 90.00 92.74 90.00
Space group Pm (No. 6)
One atom of each set of equivalent atoms:
Ta (0.000, 0.000, 0.000)
Re (0.616, 0.500, 0.768)
Au (0.070, 0.000, 0.514)
Au (0.558, 0.500, 0.262)

Material: AlInIr2
Method: DFT, GGA-PBE
State: relaxed

Computed properties:
Its magnetization is 0.000 μB per atom. As for the total energy: -51.44 eV/cell. The density of states at the Fermi level is 2.27 states/eV/cell.

abc: 6.090 6.722 3.054
angles: 90.00 90.00 90.00
Space group Cmmm (No. 65)
One atom of each set of equivalent atoms:
Al (0.000, 0.000, 0.000)
In (0.000, 0.500, 0.000)
Ir (0.250, 0.250, 0.500)

Material: Pu6Pd3Ru
Method: DFT, GGA-PBE
State: relaxed

Computed properties:
Its magnetization is 0.525 μB per atom. As for the total energy: -216.07 eV/cell. The density of states at the Fermi level is 42.51 states/eV/cell.

abc: 5.6879 5.6879 13.1792
angles: 90.00 90.00 120.00
Space group P6_322 (No. 182)
One atom of each set of equivalent atoms:
Pu (0.1356, 0.3654, 0.3355)
Pd (0.0000, 0.0000, 0.0000)
Pd (0.3333, 0.6667, 0.5421)
Ru (0.3333, 0.6667, 0.7500)